Entry 1:
Here is a relaxed Ba3Fe5N12 crystal from the Alexandria database. Energies are from GGA-PBE.

Properties
Density of states at the Fermi level ... 42.60 states/eV/cell
Total energy ... -7.14 eV/atom

Geometry as POSCAR:
```
Ba3Fe5N12
1.0
11.0688 0.0000 0.0000
-3.6896 10.4358 0.0000
-3.6896 -5.2179 9.0377
Ba Fe N
12 20 48
Cartesian
6.4568 3.2612 1.1297
6.4568 7.1746 1.1297
-0.9224 4.5657 5.6485
0.9224 -0.6522 3.3891
8.3016 0.0000 2.2594
0.9224 5.2179 2.2594
2.7672 0.0000 6.7783
-4.6120 5.2179 6.7783
2.7672 5.8701 5.6485
4.6120 0.6522 3.3891
-2.7672 -1.9567 7.9080
-2.7672 1.9567 7.9080
-0.9224 2.6090 2.2594
-1.8448 5.2179 0.0000
0.0000 0.0000 0.0000
2.7672 1.9567 1.1297
3.6896 -2.6090 4.5188
3.6896 5.2179 0.0000
-2.7672 5.8701 3.3891
4.6120 -3.2612 7.9080
4.6120 4.5657 3.3891
0.9224 -2.6090 6.7783
2.7672 7.8269 2.2594
1.8448 2.6090 4.5188
5.5344 0.0000 0.0000
-1.8448 -2.6090 4.5188
-0.9224 0.6522 5.6485
-0.9224 8.4791 1.1297
-3.6896 2.6090 4.5188
6.4568 -0.6522 5.6485
0.9224 3.2612 7.9080
4.6120 2.6090 6.7783
3.4851 -4.1079 8.9024
0.2045 3.0468 3.4899
-2.5091 2.4963 2.9267
4.3539 1.3225 0.8936
1.3451 3.4500 6.2462
-2.8044 5.4087 1.7274
-1.1805 6.3917 3.8204
-2.5091 9.1133 0.8936
4.1893 -3.4500 6.2462
4.6492 5.0271 1.7274
5.7389 3.2811 3.6252
2.0493 4.1079 8.9024
-3.1899 4.5255 4.3835
2.7301 3.6266 0.6985
-3.8941 7.1547 3.6252
2.0493 -2.1711 5.5477
-0.4997 1.0754 1.5921
2.7301 6.6185 1.0289
4.3539 7.9395 2.9267
-0.8853 3.8173 1.0289
1.3451 -4.1425 7.4456
3.0253 4.0441 3.8204
5.0347 5.9103 4.3835
4.5749 -1.5914 8.3392
0.6643 1.1738 5.2173
-1.3451 -0.6924 4.6541
-0.8852 6.8093 0.6985
-0.6643 -2.7216 6.1109
2.3445 9.3604 1.5921
4.5749 1.4006 8.0088
0.9596 -1.4006 8.0088
1.6403 7.3890 3.4899
4.1893 4.1425 7.4456
7.5837 -1.9368 5.4124
6.8795 0.6924 4.6541
1.6403 1.1100 0.1353
0.9596 1.5913 8.3392
-0.4997 8.6679 2.7914
-0.9596 0.1908 7.3103
-2.0493 1.9368 5.4124
6.1987 -3.8954 8.1441
4.8701 -1.1738 5.2173
-0.6643 3.8954 8.1441
6.4940 -0.1908 7.3103
2.3445 1.7679 2.7914
6.1987 2.7216 6.1109
3.4851 2.1711 5.5477
0.2045 9.3258 0.1353
```

***

Entry 2:
Here is a relaxed Cs2TlCd crystal from the Alexandria database. Energies are from GGA-PBE.

Properties
Density of states at the Fermi level ... 7.67 states/eV/cell
Formation energy from the elements ... 0.151 eV per atom
Energy relative to the lowest polymorph listed for this composition ... 16.9 kJ/mol of atoms

Geometry as POSCAR:
```
Cs2TlCd
1.0
10.5668 0.0000 0.0000
0.0000 10.5668 0.0000
5.2834 5.2834 3.9004
Cs Tl Cd
4 2 2
Cartesian
7.8286 2.6417 0.9751
2.7383 7.9251 0.9751
7.9251 8.0217 2.9253
13.2086 13.1120 2.9253
0.0000 0.0000 0.0000
10.5668 5.2834 1.9502
5.2834 5.2834 0.0000
5.2834 10.5668 1.9502
```

***

Entry 3:
Here is a relaxed TbY5Al4 crystal from the Alexandria database. Energies are from GGA-PBE.

Properties
Density of states at the Fermi level ... 7.17 states/eV/cell
Formation energy from the elements ... -0.329 eV per atom

Geometry as POSCAR:
```
TbY5Al4
1.0
-1.1219 -0.1200 3.3993
0.3239 -3.5669 -0.0190
18.6758 1.6625 6.2227
Tb Y Al
1 5 4
Cartesian
0.0000 0.0000 0.0000
2.0099 -1.6290 2.4928
5.4822 -1.3199 3.6498
8.9389 -1.0122 4.8015
12.3955 -0.7045 5.9533
15.8679 -0.3954 7.1102
4.1343 0.3680 1.3775
7.6065 0.6771 2.5345
11.0693 0.9854 3.6883
14.5415 1.2945 4.8452
```

***

Entry 4:
Here is a relaxed Li8Cu2Pt crystal from the Alexandria database. Energies are from GGA-PBE.

Properties
Density of states at the Fermi level ... 4.25 states/eV/cell
Formation energy from the elements ... -0.164 eV per atom

Geometry as POSCAR:
```
Li8Cu2Pt
1.0
4.4007 0.0000 0.0000
0.0000 4.8803 0.9681
-2.2004 -1.2270 7.2173
Li Cu Pt
8 2 1
Cartesian
0.0000 1.6566 6.4548
2.2004 3.9346 3.4608
2.2004 3.1198 5.9827
2.2004 0.0988 6.7727
0.0000 0.5336 2.2028
0.0000 -0.2812 4.7247
2.2004 1.9968 1.7307
0.0000 3.5546 1.4128
2.2004 1.2213 4.2327
0.0000 2.4321 3.9528
2.2004 0.0000 0.0000
```

***

Entry 5:
Here is a relaxed Sm3Tm4Pd4 crystal from the Alexandria database. Energies are from GGA-PBE.

Properties
Density of states at the Fermi level ... 11.51 states/eV/cell
Formation energy from the elements ... -0.596 eV per atom

Geometry as POSCAR:
```
Sm3Tm4Pd4
1.0
-0.5210 2.7020 -3.8098
-2.8369 -5.9203 -3.8108
-5.4174 3.5149 6.1324
Sm Tm Pd
3 4 4
Cartesian
-1.4665 0.3938 0.4799
-7.3089 -0.0973 -1.9681
-1.4184 -2.9602 -1.9054
-4.0342 2.5169 2.3367
-3.5240 0.3198 -2.1899
-4.7411 -2.2203 -3.8250
-5.2514 -0.0233 0.7017
-4.3327 -2.1776 -0.9518
-4.4427 2.4741 -0.5364
-2.5688 -3.4662 -5.0057
-0.7891 0.2479 -2.6150
```

***

Entry 6:
Here is a relaxed LaGeF crystal from the Alexandria database. Energies are from GGA-PBE.

Properties
Density of states at the Fermi level ... 1.30 states/eV/cell
Energy relative to the lowest polymorph listed for this composition ... 0.0 kJ/mol of atoms

Geometry as POSCAR:
```
LaGeF
1.0
4.0223 0.0000 -1.2136
0.0002 4.0451 0.0005
0.0371 -0.0010 7.3959
La Ge F
2 2 2
Cartesian
1.0506 0.4662 6.8485
3.9487 2.4893 1.9071
2.7131 2.4890 5.0865
2.2862 0.4666 3.6691
1.4942 2.4894 1.0447
3.4681 0.4669 0.3149
```

***

Entry 7:
Here is a relaxed MnNiTe2 crystal from the Alexandria database. Energies are from GGA-PBE.

Properties
Density of states at the Fermi level ... 2.14 states/eV/cell
Total energy ... -5.34 eV/atom

Geometry as POSCAR:
```
MnNiTe2
1.0
3.8910 0.0111 -0.0084
1.9430 3.3712 -0.0084
1.9488 1.1298 6.4018
Mn Ni Te
1 1 2
Cartesian
5.8371 3.3841 4.7888
1.9457 1.1280 1.5963
5.8357 3.3833 0.1003
3.8896 2.2550 3.0755
```

***

Entry 8:
Here is a relaxed TaZnGe3 crystal from the Alexandria database. Energies are from GGA-PBE.

Properties
Density of states at the Fermi level ... 5.23 states/eV/cell
Formation energy from the elements ... 1.140 eV per atom
Energy relative to the lowest polymorph listed for this composition ... 62.1 kJ/mol of atoms

Geometry as POSCAR:
```
TaZnGe3
1.0
4.6973 0.0000 0.0000
0.0000 4.6973 0.0000
0.0000 0.0000 4.6973
Ge Zn Ta
3 1 1
Cartesian
0.0000 2.3487 0.0000
0.0000 0.0000 2.3487
2.3487 0.0000 0.0000
0.0000 0.0000 0.0000
2.3487 2.3487 2.3487
```